Entry 1:
The following is a DFT calculation (PBE) of a relaxed structure of ThHg2As2Pd7.

Properties
crystal system	monoclinic
size of the total moment	0.000	μB per atom
electronic total energy	-4.874	eV per atom

abc: 4.0758 4.0758 14.7050
angles: 95.81 95.81 89.69
Positions (direct):
Th (0.0000, 0.0000, 0.0000)
Hg (0.1185, 0.1185, 0.4056)
Hg (0.8815, 0.8815, 0.5944)
As (0.4080, 0.4080, 0.7471)
As (0.5920, 0.5920, 0.2529)
Pd (0.0549, 0.5547, 0.1507)
Pd (0.3792, 0.3792, 0.5818)
Pd (0.4453, 0.9451, 0.8493)
Pd (0.5000, 0.5000, 0.0000)
Pd (0.5547, 0.0549, 0.1507)
Pd (0.6208, 0.6208, 0.4182)
Pd (0.9451, 0.4453, 0.8493)

=====

Entry 2:
The following is a DFT calculation (PBE) of a relaxed structure of TlHgAsPd2.

Properties
crystal system	tetragonal
size of the total moment	0.000	μB per atom
electronic total energy	-2.601	eV per atom

abc: 5.0839 5.0839 5.2994
angles: 90.00 90.00 90.00
Positions (direct):
Tl (0.0000, 0.0000, 0.0000)
Hg (0.0000, 0.0000, 0.5000)
As (0.5000, 0.5000, 0.5000)
Pd (0.0000, 0.5000, 0.0000)
Pd (0.5000, 0.0000, 0.0000)

=====

Entry 3:
The following is a DFT calculation (PBE) of a relaxed structure of Pm4Hg2As.

Properties
crystal system	tetragonal
size of the total moment	0.000	μB per atom
electronic total energy	-3.931	eV per atom

abc: 8.4967 8.4967 8.4967
angles: 141.93 141.93 54.93
Positions (direct):
Pm (0.0000, 0.5000, 0.5000)
Pm (0.1903, 0.1903, 0.0000)
Pm (0.5000, 0.0000, 0.5000)
Pm (0.8097, 0.8097, 0.0000)
Hg (0.3888, 0.3888, 0.0000)
Hg (0.6112, 0.6112, 0.0000)
As (0.0000, 0.0000, 0.0000)